SbHRhI2: relaxed, PBE.

Properties
Energy relative to the lowest polymorph listed for this composition in kJ/mol of atoms: 2.7

a = 5.515 Å, b = 5.515 Å, c = 3.573 Å
α = 90.00°, β = 90.00°, γ = 90.00°
Space group P4/mmm (No. 123)
Symmetry-distinct sites (fractional):
Sb 0.000 0.000 0.000 x1
H 0.500 0.500 0.500 x1
Rh 0.500 0.500 0.000 x1
I 0.000 0.500 0.500 x2

=====

Sm6HRh2I3: relaxed, PBE.

a = 7.066 Å, b = 12.190 Å, c = 8.375 Å
α = 90.00°, β = 106.35°, γ = 90.00°
Space group C2/m (No. 12)
Symmetry-distinct sites (fractional):
Sm 0.227 0.000 0.184 x4
Sm 0.227 0.334 0.183 x8
H 0.000 0.500 0.000 x2
Rh 0.000 0.167 0.000 x4
I 0.000 0.000 0.500 x2
I 0.000 0.332 0.500 x4

=====

Sn2HRhI: relaxed, PBE.

a = 4.337 Å, b = 4.337 Å, c = 5.410 Å
α = 90.00°, β = 90.00°, γ = 90.00°
Space group P4/mmm (No. 123)
Symmetry-distinct sites (fractional):
Sn 0.000 0.500 0.000 x2
H 0.000 0.000 0.000 x1
Rh 0.500 0.500 0.500 x1
I 0.000 0.000 0.500 x1

=====

SnH2RhI: relaxed, PBE.

a = 3.886 Å, b = 3.886 Å, c = 5.494 Å
α = 90.00°, β = 90.00°, γ = 90.00°
Space group P4/mmm (No. 123)
Symmetry-distinct sites (fractional):
Sn 0.000 0.000 0.000 x1
H 0.000 0.500 0.000 x2
Rh 0.000 0.000 0.500 x1
I 0.500 0.500 0.500 x1

=====

TaH2RhI: relaxed, PBE.

a = 3.685 Å, b = 3.685 Å, c = 6.051 Å
α = 90.00°, β = 90.00°, γ = 90.00°
Space group P4/mmm (No. 123)
Symmetry-distinct sites (fractional):
Ta 0.000 0.000 0.000 x1
H 0.000 0.500 0.500 x2
Rh 0.500 0.500 0.000 x1
I 0.000 0.000 0.500 x1

=====

TeHRhI2: relaxed, PBE.

Properties
Energy relative to the lowest polymorph listed for this composition in kJ/mol of atoms: 0.0

a = 5.672 Å, b = 5.672 Å, c = 4.987 Å
α = 90.00°, β = 90.00°, γ = 90.00°
Space group P4/mmm (No. 123)
Symmetry-distinct sites (fractional):
Te 0.000 0.000 0.000 x1
H 0.500 0.500 0.000 x1
Rh 0.000 0.000 0.500 x1
I 0.000 0.500 0.500 x2

=====

Te2HRhI: relaxed, PBE.

Properties
Energy relative to the lowest polymorph listed for this composition in kJ/mol of atoms: 0.0

a = 5.161 Å, b = 5.161 Å, c = 5.794 Å
α = 90.00°, β = 90.00°, γ = 90.00°
Space group P4/mmm (No. 123)
Symmetry-distinct sites (fractional):
Te 0.000 0.500 0.000 x2
H 0.000 0.000 0.500 x1
Rh 0.500 0.500 0.000 x1
I 0.500 0.500 0.500 x1

=====

Te2HRhI: relaxed, PBE.

Properties
Energy relative to the lowest polymorph listed for this composition in kJ/mol of atoms: 6.1

a = 4.232 Å, b = 4.232 Å, c = 7.578 Å
α = 90.00°, β = 90.00°, γ = 90.00°
Space group P4/mmm (No. 123)
Symmetry-distinct sites (fractional):
Te 0.000 0.500 0.000 x2
H 0.000 0.000 0.000 x1
Rh 0.500 0.500 0.500 x1
I 0.000 0.000 0.500 x1

=====

| no. | volume (Å³/atom) | calculated total energy (eV for the cell shown) | magnetization (Bohr magnetons per cell) |
| --- | --- | --- | --- |
| 1 | 21.7 | -14.87 | 0.00 |
| 2 | 28.8 | -120.88 | 0.00 |
| 3 | 20.3 | -17.65 | 0.00 |
| 4 | 16.6 | -18.45 | 0.00 |
| 5 | 16.4 | -22.76 | 0.00 |
| 6 | 32.1 | -13.99 | 1.00 |
| 7 | 30.9 | -15.17 | 0.93 |
| 8 | 27.1 | -14.85 | 1.47 |